# 1
4
Lattice="2.609 0.000 0.000 1.305 2.260 0.000 1.305 0.753 8.591" Properties=species:S:1:pos:R:3 comment="Mn2CuW GGA-PBEsol relaxed" sg="R-3m, No. 166" e_above_lowest_polymorph_mev_per_atom=227.0 total_energy_ev_per_atom=-8.9796 ef_mev_per_atom=436 magmom_total_mub_per_atom=0.8576 pbc="T T T"
Cu 0.000 0.000 0.000
Mn 1.305 0.753 2.068
Mn 3.914 2.260 6.523
W 2.609 1.507 4.296



# 2
4
Lattice="-1.366 -1.817 -1.370 -0.512 -1.318 2.259 -5.883 3.772 0.867" Properties=species:S:1:pos:R:3 comment="MnZn2Cu GGA-PBEsol relaxed" sg="Pmmm, No. 47" total_energy_ev_per_atom=-4.3070 ef_mev_per_atom=8 magmom_total_mub_per_atom=0.6473 pbc="T T T"
Zn -4.427 2.838 0.652
Zn -2.823 -0.883 -1.155
Mn -3.881 0.318 0.878
Cu -0.939 -1.568 0.445